First-principles (GGA-PBE) data for an optimized crystal structure of KNaTl2Br4, as listed in Alexandria.

a b c (Å): 8.011 4.621 8.107
angles (deg): 90.00 109.13 90.00
Fractional coordinates of all 8 atoms:
K  0.000  0.000  0.000
Na  0.500  0.500  0.000
Tl  0.000  0.500  0.500
Tl  0.500  0.000  0.500
Br  0.258  0.500  0.233
Br  0.268  0.000  0.772
Br  0.732  0.000  0.228
Br  0.742  0.500  0.767

## Properties
Raw total energy: -2.972 eV/atom

First-principles (GGA-PBE) data for an optimized crystal structure of K2NaTlBr5, as listed in Alexandria.

a b c (Å): 9.838 9.838 14.180
angles (deg): 90.00 90.00 152.95
Fractional coordinates of all 18 atoms:
K  0.116  0.884  0.500
K  0.150  0.850  0.122
K  0.850  0.150  0.622
K  0.884  0.116  0.000
Na  0.213  0.787  0.839
Na  0.787  0.213  0.339
Tl  0.470  0.530  0.268
Tl  0.530  0.470  0.768
Br  0.052  0.948  0.887
Br  0.283  0.717  0.476
Br  0.321  0.679  0.195
Br  0.370  0.630  0.813
Br  0.489  0.511  0.577
Br  0.511  0.489  0.077
Br  0.630  0.370  0.313
Br  0.679  0.321  0.695
Br  0.717  0.283  0.976
Br  0.948  0.052  0.387

## Properties
Raw total energy: -2.854 eV/atom

First-principles (GGA-PBE) data for an optimized crystal structure of K3NaTl4Br8, as listed in Alexandria.

a b c (Å): 9.435 9.435 9.435
angles (deg): 59.57 59.57 59.57
Fractional coordinates of all 16 atoms:
K  0.000  0.500  0.500
K  0.500  0.000  0.500
K  0.500  0.500  0.000
Na  0.000  0.000  0.000
Tl  0.000  0.000  0.500
Tl  0.000  0.500  0.000
Tl  0.500  0.000  0.000
Tl  0.500  0.500  0.500
Br  0.239  0.239  0.757
Br  0.239  0.757  0.239
Br  0.243  0.761  0.761
Br  0.252  0.252  0.252
Br  0.748  0.748  0.748
Br  0.757  0.239  0.239
Br  0.761  0.243  0.761
Br  0.761  0.761  0.243

## Properties
Raw total energy: -2.990 eV/atom

First-principles (GGA-PBE) data for an optimized crystal structure of KNa2TlBr6, as listed in Alexandria.

a b c (Å): 8.162 8.162 8.162
angles (deg): 55.33 55.33 55.33
Fractional coordinates of all 10 atoms:
K  0.000  0.000  0.000
Na  0.289  0.289  0.289
Na  0.802  0.802  0.802
Tl  0.482  0.482  0.482
Br  0.088  0.660  0.437
Br  0.232  0.566  0.862
Br  0.437  0.088  0.660
Br  0.566  0.862  0.232
Br  0.660  0.437  0.088
Br  0.862  0.232  0.566

## Properties
Raw total energy: -2.761 eV/atom

First-principles (GGA-PBE) data for an optimized crystal structure of KNaTlBr3, as listed in Alexandria.

a b c (Å): 9.789 4.611 10.648
angles (deg): 90.00 94.91 90.00
Fractional coordinates of all 12 atoms:
K  0.151  0.250  0.179
K  0.849  0.750  0.821
Na  0.119  0.250  0.593
Na  0.881  0.750  0.407
Tl  0.367  0.750  0.841
Tl  0.633  0.250  0.159
Br  0.112  0.250  0.857
Br  0.177  0.750  0.454
Br  0.389  0.750  0.131
Br  0.611  0.250  0.869
Br  0.823  0.250  0.546
Br  0.888  0.750  0.143

## Properties
Raw total energy: -2.969 eV/atom

First-principles (GGA-PBE) data for an optimized crystal structure of K2NaTlBr6, as listed in Alexandria.

a b c (Å): 7.991 7.991 7.991
angles (deg): 60.00 60.00 60.00
Fractional coordinates of all 10 atoms:
K  0.250  0.250  0.250
K  0.750  0.750  0.750
Na  0.000  0.000  0.000
Tl  0.500  0.500  0.500
Br  0.255  0.255  0.745
Br  0.255  0.745  0.255
Br  0.255  0.745  0.745
Br  0.745  0.255  0.255
Br  0.745  0.255  0.745
Br  0.745  0.745  0.255

## Properties
Polymorph energy (0 for the lowest one): 52 kJ/mol of formula units
Raw total energy: -2.743 eV/atom